w:
Entry from Alexandria: AcSm2Ag after structural relaxation (GGA-PBE).

Cell and atoms, written as extended XYZ:
```
4
Lattice="3.785 0.000 0.000 0.000 3.785 0.000 0.000 0.000 8.899" Properties=species:S:1:pos:R:3 pbc="T T T"
Ac 0.000 0.000 0.000
Sm 1.892 1.892 2.656
Sm 1.892 1.892 6.244
Ag 0.000 0.000 4.450
```

Summary:
Volume   31.9 Å³ per atom

=====

x:
Entry from Alexandria: AcSm2Ag after structural relaxation (GGA-PBE).

Cell and atoms, written as extended XYZ:
```
4
Lattice="1.906 1.100 10.707 -1.906 1.100 10.707 0.000 -2.201 10.707" Properties=species:S:1:pos:R:3 pbc="T T T"
Ac 0.000 0.000 0.000
Sm 0.000 0.000 7.567
Sm 0.000 0.000 13.844
Ag 0.000 0.000 26.773
```

Summary:
Volume   33.7 Å³ per atom

=====

y:
Entry from Alexandria: AcSm2Ag after structural relaxation (GGA-PBE).

Cell and atoms, written as extended XYZ:
```
4
Lattice="0.000 3.983 3.983 3.983 0.000 3.983 3.983 3.983 0.000" Properties=species:S:1:pos:R:3 pbc="T T T"
Ac 0.000 0.000 0.000
Sm 1.991 1.991 1.991
Sm 5.974 5.974 5.974
Ag 3.983 3.983 3.983
```

Summary:
Volume   31.6 Å³ per atom

=====

Least stable = y

=====

w:
Entry from Alexandria: Ac2SmAg6 after structural relaxation (GGA-PBE).

Cell and atoms, written as extended XYZ:
```
9
Lattice="8.417 0.000 0.000 -4.208 7.289 0.000 0.000 0.000 3.810" Properties=species:S:1:pos:R:3 pbc="T T T"
Ac 0.000 4.859 0.000
Ac 4.208 2.430 0.000
Sm 0.000 0.000 0.000
Ag -1.387 2.402 1.905
Ag -2.822 4.887 1.905
Ag 2.774 0.000 1.905
Ag 1.387 2.402 1.905
Ag 5.643 0.000 1.905
Ag 2.822 4.887 1.905
```

Summary:
Volume   26.0 Å³ per atom

=====

x:
Entry from Alexandria: Ac2SmAg6 after structural relaxation (GGA-PBE).

Cell and atoms, written as extended XYZ:
```
9
Lattice="-1.900 4.105 7.686 1.900 -4.105 7.686 1.900 4.105 -7.686" Properties=species:S:1:pos:R:3 pbc="T T T"
Ac 0.000 0.000 2.214
Ac 0.000 0.000 13.159
Sm 0.000 4.105 0.000
Ag 1.900 2.700 -2.561
Ag 1.900 1.525 0.000
Ag 1.900 2.700 2.561
Ag 0.000 1.405 5.125
Ag 0.000 2.580 7.686
Ag 0.000 1.405 10.248
```

Summary:
Volume   26.6 Å³ per atom

=====

Least stable = x